(w)
First-principles (PBE) data for LiTc2Mo after structural relaxation, as listed in the Alexandria database. Values from VASP.

## Properties
SG: I-42d
total magnetization: 0.000 μB/cell
ρ: 7934 kg/m³

Geometry as Quantum ESPRESSO input:
```
&SYSTEM
  ibrav = 0, nat = 8, ntyp = 3
/
ATOMIC_SPECIES
Tc 98.00 Tc.upf
Li 6.94 Li.upf
Mo 95.94 Mo.upf
CELL_PARAMETERS angstrom
-4.9058 -1.5572 4.5871
0.3976 -6.6360 -1.8275
-0.4110 -4.4920 3.2168
ATOMIC_POSITIONS crystal
Tc 0.1101 0.6250 0.2500
Tc 0.3750 0.3601 0.7500
Tc 0.8750 0.8899 0.7500
Tc 0.6399 0.1250 0.2500
Li 0.2500 0.7500 0.5000
Li 0.5000 0.5000 0.0000
Mo 0.0000 0.0000 0.0000
Mo 0.7500 0.2500 0.5000
```


(x)
First-principles (PBE) data for LiTc2Mo after structural relaxation, as listed in the Alexandria database. Values from VASP.

## Properties
SG: Imm2
total magnetization: 0.001 μB/cell
ρ: 8611 kg/m³

Geometry as Quantum ESPRESSO input:
```
&SYSTEM
  ibrav = 0, nat = 4, ntyp = 3
/
ATOMIC_SPECIES
Tc 98.00 Tc.upf
Li 6.94 Li.upf
Mo 95.94 Mo.upf
CELL_PARAMETERS angstrom
5.0866 -0.0051 -0.0042
2.3249 4.5242 0.0042
-3.2471 -3.0117 2.5019
ATOMIC_POSITIONS crystal
Tc 0.9998 0.9998 0.0000
Tc 0.7596 0.2596 0.5000
Li 0.5024 0.5024 0.0000
Mo 0.2382 0.7382 0.5000
```


Least stable structure: (w)


(w)
First-principles (PBE) data for LiTc2Mo after structural relaxation, as listed in the Alexandria database. Values from VASP.

## Properties
SG: Immm
total magnetization: 0.000 μB/cell
ρ: 8588 kg/m³

Geometry as Quantum ESPRESSO input:
```
&SYSTEM
  ibrav = 0, nat = 4, ntyp = 3
/
ATOMIC_SPECIES
Li 6.94 Li.upf
Tc 98.00 Tc.upf
Mo 95.94 Mo.upf
CELL_PARAMETERS angstrom
-3.8408 -3.1655 -0.7643
1.1705 -4.8951 0.1584
-0.0022 4.2990 2.6220
ATOMIC_POSITIONS crystal
Li 0.7500 0.2500 0.5000
Tc 0.4897 0.4897 0.0000
Tc 0.0103 0.0103 0.0000
Mo 0.2500 0.7500 0.5000
```


(x)
First-principles (PBE) data for LiTc2Mo after structural relaxation, as listed in the Alexandria database. Values from VASP.

## Properties
SG: P4/mmm
total magnetization: 0.000 μB/cell
ρ: 8241 kg/m³

Geometry as Quantum ESPRESSO input:
```
&SYSTEM
  ibrav = 0, nat = 4, ntyp = 3
/
ATOMIC_SPECIES
Mo 95.94 Mo.upf
Tc 98.00 Tc.upf
Li 6.94 Li.upf
CELL_PARAMETERS angstrom
2.6838 0.0000 0.0000
0.0000 2.6838 0.0000
0.0000 0.0000 8.3610
ATOMIC_POSITIONS crystal
Mo 0.5000 0.5000 0.7500
Tc 0.0000 0.0000 0.9929
Tc 0.0000 0.0000 0.5071
Li 0.5000 0.5000 0.2500
```


(y)
First-principles (PBE) data for LiTc2Mo after structural relaxation, as listed in the Alexandria database. Values from VASP.

## Properties
SG: Pm
total magnetization: 0.000 μB/cell
ρ: 8619 kg/m³

Geometry as Quantum ESPRESSO input:
```
&SYSTEM
  ibrav = 0, nat = 4, ntyp = 3
/
ATOMIC_SPECIES
Li 6.94 Li.upf
Tc 98.00 Tc.upf
Mo 95.94 Mo.upf
CELL_PARAMETERS angstrom
4.3573 0.0000 0.0000
0.0000 2.6017 0.0072
0.0000 0.9337 5.0823
ATOMIC_POSITIONS crystal
Li 0.0000 0.4926 0.4969
Tc 0.5000 0.2300 0.2586
Tc 0.0000 0.0072 0.0036
Mo 0.5000 0.7703 0.7408
```


(z)
First-principles (PBE) data for LiTc2Mo after structural relaxation, as listed in the Alexandria database. Values from VASP.

## Properties
SG: P4/mmm
total magnetization: 0.000 μB/cell
ρ: 8848 kg/m³

Geometry as Quantum ESPRESSO input:
```
&SYSTEM
  ibrav = 0, nat = 4, ntyp = 3
/
ATOMIC_SPECIES
Li 6.94 Li.upf
Tc 98.00 Tc.upf
Mo 95.94 Mo.upf
CELL_PARAMETERS angstrom
-1.2775 2.0125 -2.0898
-0.8153 -2.4404 -1.8517
-4.9023 -0.3675 2.6428
ATOMIC_POSITIONS crystal
Li 0.5000 0.5000 0.2500
Tc 0.0000 0.0000 0.0186
Tc 0.0000 0.0000 0.4814
Mo 0.5000 0.5000 0.7500
```


Least stable structure: (x)


(w)
First-principles (PBE) data for LiTc2Mo after structural relaxation, as listed in the Alexandria database. Values from VASP.

## Properties
SG: Cmmm
total magnetization: 0.000 μB/cell
ρ: 8511 kg/m³

Geometry as Quantum ESPRESSO input:
```
&SYSTEM
  ibrav = 0, nat = 4, ntyp = 3
/
ATOMIC_SPECIES
Tc 98.00 Tc.upf
Li 6.94 Li.upf
Mo 95.94 Mo.upf
CELL_PARAMETERS angstrom
4.9673 0.0020 0.0000
-2.1503 4.4778 0.0000
0.0000 0.0000 2.6211
ATOMIC_POSITIONS crystal
Tc 0.5000 0.5000 0.0000
Tc 0.0000 0.0000 0.0000
Li 0.5000 0.0000 0.5000
Mo 0.0000 0.5000 0.5000
```


(x)
First-principles (PBE) data for LiTc2Mo after structural relaxation, as listed in the Alexandria database. Values from VASP.

## Properties
SG: Fm-3m
total magnetization: 0.000 μB/cell
ρ: 8785 kg/m³

Geometry as Quantum ESPRESSO input:
```
&SYSTEM
  ibrav = 0, nat = 4, ntyp = 3
/
ATOMIC_SPECIES
Tc 98.00 Tc.upf
Li 6.94 Li.upf
Mo 95.94 Mo.upf
CELL_PARAMETERS angstrom
0.0000 3.0455 3.0455
3.0455 0.0000 3.0455
3.0455 3.0455 0.0000
ATOMIC_POSITIONS crystal
Tc 0.2500 0.2500 0.2500
Tc 0.7500 0.7500 0.7500
Li 0.0000 0.0000 0.0000
Mo 0.5000 0.5000 0.5000
```


Least stable structure: (w)


(w)
First-principles (PBE) data for Li2TcMo after structural relaxation, as listed in the Alexandria database. Values from VASP.

## Properties
SG: I-42d
total magnetization: 0.441 μB/cell
ρ: 5996 kg/m³

Geometry as Quantum ESPRESSO input:
```
&SYSTEM
  ibrav = 0, nat = 8, ntyp = 3
/
ATOMIC_SPECIES
Tc 98.00 Tc.upf
Mo 95.94 Mo.upf
Li 6.94 Li.upf
CELL_PARAMETERS angstrom
6.9085 0.0000 0.0000
0.0000 6.9085 0.0000
3.4543 3.4543 2.4120
ATOMIC_POSITIONS crystal
Tc 0.7500 0.2500 0.5000
Tc 0.0000 0.0000 0.0000
Mo 0.5000 0.5000 0.0000
Mo 0.2500 0.7500 0.5000
Li 0.1177 0.6250 0.2500
Li 0.3750 0.3677 0.7500
Li 0.6323 0.1250 0.2500
Li 0.8750 0.8823 0.7500
```


(x)
First-principles (PBE) data for Li2TcMo after structural relaxation, as listed in the Alexandria database. Values from VASP.

## Properties
SG: P4/mmm
total magnetization: 0.000 μB/cell
ρ: 6454 kg/m³

Geometry as Quantum ESPRESSO input:
```
&SYSTEM
  ibrav = 0, nat = 4, ntyp = 3
/
ATOMIC_SPECIES
Li 6.94 Li.upf
Tc 98.00 Tc.upf
Mo 95.94 Mo.upf
CELL_PARAMETERS angstrom
-2.9884 0.6259 -3.4878
-3.3893 -1.8363 2.5744
-0.5551 2.2600 0.8812
ATOMIC_POSITIONS crystal
Li 0.5000 0.5000 0.0000
Li 0.0000 0.0000 0.0000
Tc 0.0000 0.5000 0.5000
Mo 0.5000 0.0000 0.5000
```


Least stable structure: (w)


(w)
First-principles (PBE) data for Li2TcMo after structural relaxation, as listed in the Alexandria database. Values from VASP.

## Properties
SG: Fm-3m
total magnetization: 0.000 μB/cell
ρ: 6693 kg/m³

Geometry as Quantum ESPRESSO input:
```
&SYSTEM
  ibrav = 0, nat = 4, ntyp = 3
/
ATOMIC_SPECIES
Mo 95.94 Mo.upf
Tc 98.00 Tc.upf
Li 6.94 Li.upf
CELL_PARAMETERS angstrom
3.3131 -2.5348 0.2276
2.6739 0.3388 3.1920
0.1523 -2.9813 2.9228
ATOMIC_POSITIONS crystal
Mo 0.0000 0.0000 0.0000
Tc 0.5000 0.5000 0.5000
Li 0.2500 0.2500 0.2500
Li 0.7500 0.7500 0.7500
```


(x)
First-principles (PBE) data for Li2TcMo after structural relaxation, as listed in the Alexandria database. Values from VASP.

## Properties
SG: R-3m
total magnetization: 1.179 μB/cell
ρ: 5746 kg/m³

Geometry as Quantum ESPRESSO input:
```
&SYSTEM
  ibrav = 0, nat = 4, ntyp = 3
/
ATOMIC_SPECIES
Tc 98.00 Tc.upf
Li 6.94 Li.upf
Mo 95.94 Mo.upf
CELL_PARAMETERS angstrom
9.9047 -0.0073 -0.0043
9.5488 2.6311 -0.0043
9.5488 1.2879 2.2943
ATOMIC_POSITIONS crystal
Tc 0.7500 0.7500 0.7500
Li 0.0026 0.0026 0.0026
Li 0.4974 0.4974 0.4974
Mo 0.2500 0.2500 0.2500
```


(y)
First-principles (PBE) data for Li2TcMo after structural relaxation, as listed in the Alexandria database. Values from VASP.

## Properties
SG: P2/m
total magnetization: 0.000 μB/cell
ρ: 5865 kg/m³

Geometry as Quantum ESPRESSO input:
```
&SYSTEM
  ibrav = 0, nat = 4, ntyp = 3
/
ATOMIC_SPECIES
Li 6.94 Li.upf
Mo 95.94 Mo.upf
Tc 98.00 Tc.upf
CELL_PARAMETERS angstrom
-0.0721 -3.6945 2.9476
-1.4668 -1.2692 -1.6266
3.2180 -2.5074 -3.0641
ATOMIC_POSITIONS crystal
Li 0.0000 0.5134 0.5066
Li 0.0000 0.9866 0.9934
Mo 0.5000 0.2500 0.2500
Tc 0.5000 0.7500 0.7500
```


(z)
First-principles (PBE) data for Li2TcMo after structural relaxation, as listed in the Alexandria database. Values from VASP.

## Properties
SG: P4mm
total magnetization: 0.000 μB/cell
ρ: 5569 kg/m³

Geometry as Quantum ESPRESSO input:
```
&SYSTEM
  ibrav = 0, nat = 4, ntyp = 3
/
ATOMIC_SPECIES
Mo 95.94 Mo.upf
Li 6.94 Li.upf
Tc 98.00 Tc.upf
CELL_PARAMETERS angstrom
-0.3882 0.6291 -2.4701
-2.1508 -1.4218 -0.0241
-4.9458 7.4364 2.6711
ATOMIC_POSITIONS crystal
Mo 0.0000 0.0000 0.5037
Li 0.0000 0.0000 0.9859
Li 0.5000 0.5000 0.2571
Tc 0.5000 0.5000 0.7533
```


Least stable structure: (w)